Material: Na5Re2N6
Method: DFT, PBE-GGA
State: optimized geometry

abc: 6.035 6.035 14.034
angles: 85.98 85.98 60.53
Fractional coordinates of all 26 atoms:
N  0.699  0.780  0.543
N  0.602  0.744  0.331
Na  0.891  0.822  0.212
N  0.780  0.699  0.043
Re  0.061  0.369  0.086
N  0.220  0.301  0.957
N  0.042  0.852  0.869
N  0.256  0.398  0.169
Na  0.340  0.838  0.986
Na  0.109  0.178  0.788
Re  0.369  0.061  0.586
Na  0.660  0.162  0.014
N  0.852  0.042  0.369
Re  0.631  0.939  0.414
Na  0.162  0.660  0.514
Na  0.581  0.419  0.250
Na  0.178  0.109  0.288
Na  0.822  0.891  0.712
Re  0.939  0.631  0.914
Na  0.838  0.340  0.486
N  0.301  0.220  0.457
N  0.148  0.958  0.631
N  0.744  0.602  0.831
N  0.398  0.256  0.669
Na  0.419  0.581  0.750
N  0.958  0.148  0.131

## Properties
Space group: C2/c (15)
ΔE_f (raw), meV/atom: -247
Final energy, eV/atom: -6.512
DOS at the Fermi energy, states/eV per atom: 0.05